<P>
VASP calculation (PBE-GGA) on crystalline ZrRePt at its relaxed geometry.

a = 6.2654 Å, b = 6.2654 Å, c = 6.2654 Å
α = 90.00°, β = 90.00°, γ = 90.00°
Closest atoms and distances in Å follow each position.
Space group F-43m (No. 216)
Asymmetric unit:
Zr  0.0000  0.0000  0.0000  4 Re 2.71, 4 Pt 2.71
Re  0.2500  0.2500  0.7500  4 Zr 2.71
Pt  0.2500  0.2500  0.2500  4 Zr 2.71

=====

<Q>
VASP calculation (PBE-GGA) on crystalline ZrRePt at its relaxed geometry.

a = 4.6532 Å, b = 4.6532 Å, c = 2.7662 Å
α = 90.00°, β = 90.00°, γ = 120.00°
Closest atoms and distances in Å follow each position.
Space group P-6m2 (No. 187)
Asymmetric unit:
Zr  0.0000  0.0000  0.0000  2 Zr 2.77, 6 Pt 3.02, 6 Re 3.02
Re  0.3333  0.6667  0.5000  3 Pt 2.69, 2 Re 2.77
Pt  0.6667  0.3333  0.5000  3 Re 2.69, 2 Pt 2.77

=====

The most stable arrangement is <Q>, and the next structure is 75.5 kJ/mol of atoms less stable.

=====

<P>
VASP calculation (PBE-GGA) on crystalline ZrRePt2 at its relaxed geometry.

a = 9.4409 Å, b = 2.8339 Å, c = 5.0678 Å
α = 90.00°, β = 99.40°, γ = 90.00°
Closest atoms and distances in Å follow each position.
Space group Cm (No. 8)
Asymmetric unit:
Zr  0.0000  0.0000  0.0000  7 Pt 2.79-2.95, 2 Zr 2.83, 3 Re 2.97-3.02
Re  0.2493  0.0000  0.6939  5 Pt 2.71-2.75, 2 Re 2.83, 3 Zr 2.97-3.02
Pt  0.0080  0.5000  0.5122  3 Re 2.71-2.75, 5 Pt 2.83-2.95, 4 Zr 2.86-2.95
Pt  0.2526  0.5000  0.2345  2 Re 2.73, 3 Zr 2.79-2.86, 5 Pt 2.83-2.95

=====

<Q>
VASP calculation (PBE-GGA) on crystalline ZrRePt2 at its relaxed geometry.

a = 2.8350 Å, b = 2.8350 Å, c = 8.3305 Å
α = 90.00°, β = 90.00°, γ = 90.00°
Closest atoms and distances in Å follow each position.
Space group P4mm (No. 99)
Asymmetric unit:
Zr  0.0000  0.0000  0.0000  4 Zr 2.83, 4 Pt 2.90, 4 Re 3.04
Re  0.5000  0.5000  0.7261  4 Pt 2.71, 4 Re 2.83
Pt  0.0000  0.0000  0.5077  4 Re 2.71, 8 Pt 2.83-2.93
Pt  0.5000  0.5000  0.2511  8 Pt 2.83-2.93, 4 Zr 2.90

=====

<R>
VASP calculation (PBE-GGA) on crystalline ZrRePt2 at its relaxed geometry.

a = 2.8466 Å, b = 2.8466 Å, c = 28.3742 Å
α = 90.00°, β = 90.00°, γ = 120.00°
Closest atoms and distances in Å follow each position.
Space group R-3m (No. 166, hexagonal axes)
Asymmetric unit:
Zr  0.0000  0.0000  0.0000  6 Zr 2.85, 6 Pt 2.98
Re  0.0000  0.0000  0.5000  6 Pt 2.78, 6 Re 2.85
Pt  0.0000  0.0000  0.2459  3 Re 2.78, 6 Pt 2.85, 3 Zr 2.98

=====

<S>
VASP calculation (PBE-GGA) on crystalline ZrRePt2 at its relaxed geometry.

a = 9.5329 Å, b = 2.9950 Å, c = 4.7884 Å
α = 90.00°, β = 101.37°, γ = 90.00°
Closest atoms and distances in Å follow each position.
Space group C2/m (No. 12)
Asymmetric unit:
Zr  0.0000  0.0000  0.0000  4 Re 2.82, 6 Pt 2.84-2.94, 2 Zr 2.99
Re  0.0000  0.5000  0.5000  6 Pt 2.79-2.91, 4 Zr 2.82, 2 Re 2.99
Pt  0.2418  0.0000  0.7366  6 Pt 2.75-2.99, 3 Re 2.79-2.91, 3 Zr 2.84-2.94

=====

The most stable arrangement is <P>, and the next structure is 10.7 kJ/mol of atoms less stable.

=====

<P>
VASP calculation (PBE-GGA) on crystalline Pt3Rh5 at its relaxed geometry.

a = 2.7488 Å, b = 2.7488 Å, c = 15.5853 Å
α = 90.00°, β = 90.00°, γ = 90.00°
Closest atoms and distances in Å follow each position.
Space group P4/mmm (No. 123)
Asymmetric unit:
Pt  0.0000  0.0000  0.0000  4 Pt 2.75, 8 Rh 2.78
Pt  0.5000  0.5000  0.3737  4 Pt 2.75, 8 Rh 2.77
Rh  0.0000  0.0000  0.2470  8 Rh 2.69-2.75, 4 Pt 2.77
Rh  0.0000  0.0000  0.5000  4 Rh 2.75, 8 Pt 2.77
Rh  0.5000  0.5000  0.1278  8 Rh 2.69-2.75, 4 Pt 2.78

=====

<Q>
VASP calculation (PBE-GGA) on crystalline Pt3Rh5 at its relaxed geometry.

a = 10.6112 Å, b = 9.5092 Å, c = 5.2953 Å
α = 90.00°, β = 117.63°, γ = 90.00°
Closest atoms and distances in Å follow each position.
Space group C2/c (No. 15)
Asymmetric unit:
Pt  0.0000  0.0415  0.2500  8 Rh 2.74-2.79, 4 Pt 2.76-2.77
Pt  0.1260  0.2937  0.5047  9 Rh 2.72-2.81, 3 Pt 2.77-2.78
Rh  0.0000  0.4580  0.7500  8 Rh 2.72-2.77, 4 Pt 2.74
Rh  0.1256  0.2088  0.9961  6 Pt 2.73-2.81, 6 Rh 2.73-2.77
Rh  0.2482  0.4575  0.2460  5 Pt 2.72-2.78, 7 Rh 2.72-2.77

=====

The most stable arrangement is <P>, and the next structure is 4.9 kJ/mol of atoms less stable.